# Th5Pa2Te12 (GGA-PBE, optimized geometry)
data_Th5Pa2Te12
_space_group_name_H-M_alt 'C 1 2/m 1'
_space_group_IT_number 12
_cell_length_a 17.6808
_cell_length_b 7.8883
_cell_length_c 9.9023
_cell_angle_alpha 90.00
_cell_angle_beta 104.86
_cell_angle_gamma 90.00
loop_
_space_group_symop_operation_xyz
'x,y,z'
'-x,-y,-z'
'-x,y,-z'
'x,-y,z'
'x+1/2,y+1/2,z'
'-x+1/2,-y+1/2,-z'
'-x+1/2,y+1/2,-z'
'x+1/2,-y+1/2,z'
loop_
_atom_site_label
_atom_site_fract_x
_atom_site_fract_y
_atom_site_fract_z
Th1 0.0000 0.0000 0.0000
Th2 0.1741 0.5000 0.3429
Th3 0.1914 0.5000 0.8467
Pa1 0.0000 0.3265 0.5000
Te1 0.0064 0.5000 0.7925
Te2 0.0065 0.0000 0.3120
Te3 0.1543 0.2400 0.0742
Te4 0.1756 0.2454 0.5972
# Calculated total energy in eV per cell: -225.28
# Formation energy from raw total energies in eV per atom: -0.992
# Theoretical density in Mg/m³: 7.85


# ThPaTe2 (GGA-PBE, optimized geometry)
data_ThPaTe2
_space_group_name_H-M_alt 'R -3 m'
_space_group_IT_number 166
_space_group_name_Hall '-R 3 2"'
_cell_length_a 3.8706
_cell_length_b 3.8706
_cell_length_c 31.4661
_cell_angle_alpha 90.00
_cell_angle_beta 90.00
_cell_angle_gamma 120.00
loop_
_atom_site_label
_atom_site_fract_x
_atom_site_fract_y
_atom_site_fract_z
Th1 0.0000 0.0000 0.0000
Pa1 0.0000 0.0000 0.5000
Te1 0.0000 0.0000 0.0988
# Calculated total energy in eV per cell: -74.04
# Formation energy from raw total energies in eV per atom: -0.370
# Theoretical density in Mg/m³: 8.76


# ThPa2Te6 (GGA-PBE, optimized geometry)
data_ThPa2Te6
_space_group_name_H-M_alt 'I -4 2 m'
_space_group_IT_number 121
_space_group_name_Hall 'I -4 2'
_cell_length_a 5.8383
_cell_length_b 5.8383
_cell_length_c 21.6733
_cell_angle_alpha 90.00
_cell_angle_beta 90.00
_cell_angle_gamma 90.00
loop_
_atom_site_label
_atom_site_fract_x
_atom_site_fract_y
_atom_site_fract_z
Th1 0.0000 0.0000 0.0000
Pa1 0.0000 0.0000 0.3059
Te1 0.0000 0.5000 0.2500
Te2 0.2297 0.2297 0.5902
# Calculated total energy in eV per cell: -100.49
# Formation energy from raw total energies in eV per atom: -0.553
# Theoretical density in Mg/m³: 6.56


# ThPaTe3 (GGA-PBE, optimized geometry)
data_ThPaTe3
_space_group_name_H-M_alt 'C 1 2/m 1'
_space_group_IT_number 12
_cell_length_a 15.1740
_cell_length_b 4.0643
_cell_length_c 11.4763
_cell_angle_alpha 90.00
_cell_angle_beta 106.20
_cell_angle_gamma 90.00
loop_
_space_group_symop_operation_xyz
'x,y,z'
'-x,-y,-z'
'-x,y,-z'
'x,-y,z'
'x+1/2,y+1/2,z'
'-x+1/2,-y+1/2,-z'
'-x+1/2,y+1/2,-z'
'x+1/2,-y+1/2,z'
loop_
_atom_site_label
_atom_site_fract_x
_atom_site_fract_y
_atom_site_fract_z
Th1 0.0251 0.0000 0.3493
Pa1 0.2427 0.5000 0.8479
Te1 0.1071 0.0000 0.9128
Te2 0.1210 0.5000 0.5782
Te3 0.1361 0.5000 0.2342
# Calculated total energy in eV per cell: -124.03
# Formation energy from raw total energies in eV per atom: -0.933
# Theoretical density in Mg/m³: 8.27


# ThPaTe3 (GGA-PBE, optimized geometry)
data_ThPaTe3
_space_group_name_H-M_alt 'P 1 21/m 1'
_space_group_IT_number 11
_cell_length_a 8.7457
_cell_length_b 4.2248
_cell_length_c 8.9578
_cell_angle_alpha 90.00
_cell_angle_beta 99.75
_cell_angle_gamma 90.00
loop_
_space_group_symop_operation_xyz
'x,y,z'
'-x,-y,-z'
'-x,y+1/2,-z'
'x,-y+1/2,z'
loop_
_atom_site_label
_atom_site_fract_x
_atom_site_fract_y
_atom_site_fract_z
Th1 0.1168 0.2500 0.2735
Pa1 0.3844 0.7500 0.8745
Te1 0.1256 0.2500 0.9013
Te2 0.1857 0.7500 0.5493
Te3 0.3926 0.7500 0.2310
# Calculated total energy in eV per cell: -62.11
# Formation energy from raw total energies in eV per atom: -0.943
# Theoretical density in Mg/m³: 8.61


# Th3PaTl3Te8 (GGA-PBE, optimized geometry)
data_Th3PaTl3Te8
_space_group_name_H-M_alt 'R -3 m'
_space_group_IT_number 166
_space_group_name_Hall '-R 3 2"'
_cell_length_a 8.7134
_cell_length_b 8.7134
_cell_length_c 25.8676
_cell_angle_alpha 90.00
_cell_angle_beta 90.00
_cell_angle_gamma 120.00
loop_
_atom_site_label
_atom_site_fract_x
_atom_site_fract_y
_atom_site_fract_z
Th1 0.0000 0.5000 0.0000
Pa1 0.0000 0.0000 0.0000
Tl1 0.0000 0.5000 0.5000
Te1 0.0000 0.0000 0.2582
Te2 0.0043 0.5022 0.7404
# Calculated total energy in eV per cell: -229.65
# Formation energy from raw total energies in eV per atom: -0.837
# Theoretical density in Mg/m³: 7.50